# 1
Density functional theory data (GGA-PBE) for RbDyTc2O8 after structural relaxation.

Unit cell a=6.0062 b=6.0062 c=7.9909 alpha=90.00 beta=90.00 gamma=120.00
With the nearest neighbours (Å) after each atom.
Sites, in units of the cell vectors:
1 Rb 0.0000 0.0000 0.0000  12 O 3.16-3.48
2 Dy 0.0000 0.0000 0.5000  6 O 2.25
3 Tc 0.3333 0.6667 0.7488  4 O 1.75-1.80
4 Tc 0.6667 0.3333 0.2512  4 O 1.75-1.80
5 O 0.1706 0.3412 0.6727  1 Tc 1.80
6 O 0.1706 0.8294 0.6727  1 Tc 1.80
7 O 0.3333 0.6667 0.9674  1 Tc 1.75
8 O 0.3412 0.1706 0.3273  1 Tc 1.80
9 O 0.6588 0.8294 0.6727  1 Tc 1.80
10 O 0.6667 0.3333 0.0326  1 Tc 1.75
11 O 0.8294 0.1706 0.3273  1 Tc 1.80
12 O 0.8294 0.6588 0.3273  1 Tc 1.80

total energy	-7.43	eV/atom
ΔE_f (raw)	-1932	meV per atom

# 2
Density functional theory data (GGA-PBE) for Rb2DyTcO6 after structural relaxation.

Unit cell a=6.4394 b=6.4394 c=5.7610 alpha=90.00 beta=90.00 gamma=120.00
With the nearest neighbours (Å) after each atom.
Sites, in units of the cell vectors:
1 Rb 0.3333 0.6667 0.3785  3 O 2.89
2 Rb 0.6667 0.3333 0.6215  3 O 2.89
3 Dy 0.0000 0.0000 0.0000  6 O 2.28
4 Tc 0.0000 0.0000 0.5000  6 O 1.92
5 O 0.1356 0.2713 0.7039  1 Tc 1.92
6 O 0.1356 0.8644 0.7039  1 Tc 1.92
7 O 0.2713 0.1356 0.2961  1 Tc 1.92
8 O 0.7287 0.8644 0.7039  1 Tc 1.92
9 O 0.8644 0.1356 0.2961  1 Tc 1.92
10 O 0.8644 0.7287 0.2961  1 Tc 1.92

total energy	-6.54	eV/atom
ΔE_f (raw)	-1871	meV per atom

> Look up the ΔE_f (raw) of the first one.

-1932 meV per atom

Copy entry 1 word for word.
Density functional theory data (GGA-PBE) for RbDyTc2O8 after structural relaxation.

Unit cell a=6.0062 b=6.0062 c=7.9909 alpha=90.00 beta=90.00 gamma=120.00
With the nearest neighbours (Å) after each atom.
Sites, in units of the cell vectors:
1 Rb 0.0000 0.0000 0.0000  12 O 3.16-3.48
2 Dy 0.0000 0.0000 0.5000  6 O 2.25
3 Tc 0.3333 0.6667 0.7488  4 O 1.75-1.80
4 Tc 0.6667 0.3333 0.2512  4 O 1.75-1.80
5 O 0.1706 0.3412 0.6727  1 Tc 1.80
6 O 0.1706 0.8294 0.6727  1 Tc 1.80
7 O 0.3333 0.6667 0.9674  1 Tc 1.75
8 O 0.3412 0.1706 0.3273  1 Tc 1.80
9 O 0.6588 0.8294 0.6727  1 Tc 1.80
10 O 0.6667 0.3333 0.0326  1 Tc 1.75
11 O 0.8294 0.1706 0.3273  1 Tc 1.80
12 O 0.8294 0.6588 0.3273  1 Tc 1.80

total energy	-7.43	eV/atom
ΔE_f (raw)	-1932	meV per atom

> Look up the ΔE_f (raw) of the second one.

-1871 meV per atom

> Which of these has the highest ΔE_f (raw)?

Rb2DyTcO6